(1)
Computed, not measured: an optimized crystal structure of TbAs2Pd4 at the PBE-GGA level of DFT.

a b c (Å): 7.750 7.750 4.082
angles (deg): 90.00 90.00 90.00
Sites, in units of the cell vectors:
1 Tb 0.000 0.000 0.000
2 Tb 0.500 0.500 0.500
3 As 0.221 0.221 0.500
4 As 0.279 0.721 0.000
5 As 0.721 0.279 0.000
6 As 0.779 0.779 0.500
7 Pd 0.087 0.662 0.500
8 Pd 0.162 0.413 0.000
9 Pd 0.338 0.913 0.500
10 Pd 0.413 0.162 0.000
11 Pd 0.587 0.838 0.000
12 Pd 0.662 0.087 0.500
13 Pd 0.838 0.587 0.000
14 Pd 0.913 0.338 0.500

Results
Symmetry: P4_2/mnm
Formation energy from the elements: -0.731 eV/atom
Final energy: -39.820 eV/f.u.
Density of states at the Fermi level: 0.362 states/eV per atom
Total moment: 0.00 Bohr magnetons per cell

***

(2)
Computed, not measured: an optimized crystal structure of TbAsPd6 at the PBE-GGA level of DFT.

a b c (Å): 5.623 5.623 5.631
angles (deg): 109.00 109.00 109.17
Sites, in units of the cell vectors:
1 Tb 0.000 0.000 0.000
2 As 0.500 0.500 0.500
3 Pd 0.245 0.714 0.246
4 Pd 0.246 0.246 0.714
5 Pd 0.286 0.755 0.754
6 Pd 0.714 0.245 0.246
7 Pd 0.754 0.754 0.286
8 Pd 0.755 0.286 0.754

Results
Symmetry: C2/m
Formation energy from the elements: -0.369 eV/atom
Final energy: -43.389 eV/f.u.
Density of states at the Fermi level: 0.577 states/eV per atom
Total moment: 0.00 Bohr magnetons per cell

***

(3)
Computed, not measured: an optimized crystal structure of TbAsPd3 at the PBE-GGA level of DFT.

a b c (Å): 8.948 8.948 8.948
angles (deg): 146.26 146.26 48.45
Sites, in units of the cell vectors:
1 Tb 0.155 0.155 0.000
2 Tb 0.845 0.845 0.000
3 As 0.250 0.750 0.500
4 As 0.500 0.500 0.000
5 Pd 0.375 0.129 0.755
6 Pd 0.375 0.620 0.245
7 Pd 0.380 0.625 0.755
8 Pd 0.552 0.052 0.500
9 Pd 0.871 0.625 0.245
10 Pd 0.948 0.448 0.500

Results
Symmetry: I-4m2
Formation energy from the elements: -0.479 eV/atom
Final energy: -27.252 eV/f.u.
Density of states at the Fermi level: 0.395 states/eV per atom
Total moment: 0.00 Bohr magnetons per cell

***

(4)
Computed, not measured: an optimized crystal structure of Tb2As7Pd12 at the PBE-GGA level of DFT.

a b c (Å): 10.123 10.123 4.085
angles (deg): 90.00 90.00 120.00
Sites, in units of the cell vectors:
1 Tb 0.333 0.667 0.248
2 Tb 0.667 0.333 0.752
3 As 0.000 0.000 0.500
4 As 0.119 0.707 0.745
5 As 0.293 0.412 0.745
6 As 0.412 0.119 0.255
7 As 0.588 0.881 0.745
8 As 0.707 0.588 0.255
9 As 0.881 0.293 0.255
10 Pd 0.062 0.440 0.747
11 Pd 0.112 0.254 0.230
12 Pd 0.143 0.888 0.230
13 Pd 0.254 0.143 0.770
14 Pd 0.378 0.938 0.747
15 Pd 0.440 0.378 0.253
16 Pd 0.560 0.622 0.747
17 Pd 0.622 0.062 0.253
18 Pd 0.746 0.857 0.230
19 Pd 0.857 0.112 0.770
20 Pd 0.888 0.746 0.770
21 Pd 0.938 0.560 0.253

Results
Symmetry: P-3
Formation energy from the elements: -0.606 eV/atom
Final energy: -116.851 eV/f.u.
Density of states at the Fermi level: 0.516 states/eV per atom
Total moment: 0.00 Bohr magnetons per cell

***

(5)
Computed, not measured: an optimized crystal structure of TbAs4Pd12 at the PBE-GGA level of DFT.

a b c (Å): 7.419 7.419 7.419
angles (deg): 109.47 109.47 109.47
Sites, in units of the cell vectors:
1 Tb 0.000 0.000 0.000
2 As 0.000 0.000 0.500
3 As 0.000 0.500 0.000
4 As 0.500 0.000 0.000
5 As 0.500 0.500 0.500
6 Pd 0.162 0.340 0.502
7 Pd 0.162 0.660 0.822
8 Pd 0.178 0.838 0.340
9 Pd 0.340 0.178 0.838
10 Pd 0.340 0.502 0.162
11 Pd 0.498 0.838 0.660
12 Pd 0.502 0.162 0.340
13 Pd 0.660 0.498 0.838
14 Pd 0.660 0.822 0.162
15 Pd 0.822 0.162 0.660
16 Pd 0.838 0.340 0.178
17 Pd 0.838 0.660 0.498

Results
Symmetry: Im-3
Formation energy from the elements: -0.273 eV/atom
Final energy: -90.186 eV/f.u.
Density of states at the Fermi level: 0.213 states/eV per atom
Total moment: 0.00 Bohr magnetons per cell

***

(6)
Computed, not measured: an optimized crystal structure of TbTl2As2Pd7 at the PBE-GGA level of DFT.

a b c (Å): 4.061 4.061 14.643
angles (deg): 94.75 94.75 89.87
Sites, in units of the cell vectors:
1 Tb 0.000 0.000 0.000
2 Tl 0.103 0.103 0.400
3 Tl 0.897 0.897 0.600
4 As 0.424 0.424 0.753
5 As 0.576 0.576 0.247
6 Pd 0.046 0.545 0.148
7 Pd 0.399 0.399 0.585
8 Pd 0.455 0.954 0.852
9 Pd 0.500 0.500 0.000
10 Pd 0.545 0.046 0.148
11 Pd 0.601 0.601 0.415
12 Pd 0.954 0.455 0.852

Results
Symmetry: C2/m
Formation energy from the elements: -0.444 eV/atom
Final energy: -60.336 eV/f.u.
Density of states at the Fermi level: 0.371 states/eV per atom
Total moment: 0.00 Bohr magnetons per cell

***

(7)
Computed, not measured: an optimized crystal structure of TcAs2Pd at the PBE-GGA level of DFT.

a b c (Å): 6.830 6.830 6.830
angles (deg): 131.53 131.53 70.98
Sites, in units of the cell vectors:
1 Tc 0.000 0.000 0.000
2 Tc 0.750 0.250 0.500
3 As 0.112 0.625 0.987
4 As 0.375 0.362 0.487
5 As 0.638 0.125 0.013
6 As 0.875 0.888 0.513
7 Pd 0.250 0.750 0.500
8 Pd 0.500 0.500 0.000

Results
Symmetry: I-42d
Formation energy from the elements: 0.096 eV/atom
Final energy: -24.473 eV/f.u.
Density of states at the Fermi level: 0.591 states/eV per atom
Total moment: 0.00 Bohr magnetons per cell
Relative energy among the computed polymorphs: 222 meV per atom

***

(8)
Computed, not measured: an optimized crystal structure of TcAs2Pd at the PBE-GGA level of DFT.

a b c (Å): 9.026 9.026 9.026
angles (deg): 18.97 18.97 18.97
Sites, in units of the cell vectors:
1 Tc 0.000 0.000 0.000
2 As 0.091 0.091 0.091
3 As 0.909 0.909 0.909
4 Pd 0.500 0.500 0.500

Results
Symmetry: R-3m
Formation energy from the elements: 0.286 eV/atom
Final energy: -23.713 eV/f.u.
Density of states at the Fermi level: 1.105 states/eV per atom
Total moment: 0.24 Bohr magnetons per cell
Relative energy among the computed polymorphs: 412 meV per atom

***

(9)
Computed, not measured: an optimized crystal structure of Tc2As2Pd at the PBE-GGA level of DFT.

a b c (Å): 7.147 7.147 2.977
angles (deg): 90.00 90.00 90.00
Sites, in units of the cell vectors:
1 Tc 0.146 0.354 0.000
2 Tc 0.354 0.854 0.000
3 Tc 0.646 0.146 0.000
4 Tc 0.854 0.646 0.000
5 As 0.151 0.651 0.500
6 As 0.349 0.151 0.500
7 As 0.651 0.849 0.500
8 As 0.849 0.349 0.500
9 Pd 0.000 0.000 0.500
10 Pd 0.500 0.500 0.500

Results
Symmetry: P4/mbm
Formation energy from the elements: -0.025 eV/atom
Final energy: -35.348 eV/f.u.
Density of states at the Fermi level: 0.877 states/eV per atom
Total moment: 0.00 Bohr magnetons per cell
Relative energy among the computed polymorphs: 0 meV per atom

***

(10)
Computed, not measured: an optimized crystal structure of Tc3AsPd at the PBE-GGA level of DFT.

a b c (Å): 4.762 4.762 4.762
angles (deg): 90.00 90.00 90.00
Sites, in units of the cell vectors:
1 Tc 0.000 0.000 0.500
2 Tc 0.000 0.500 0.000
3 Tc 0.500 0.000 0.000
4 As 0.500 0.500 0.500
5 Pd 0.000 0.000 0.000

Results
Symmetry: Pm-3m
Formation energy from the elements: 2.100 eV/atom
Final energy: -30.441 eV/f.u.
Density of states at the Fermi level: 1.625 states/eV per atom
Total moment: 6.71 Bohr magnetons per cell
Relative energy among the computed polymorphs: 921 meV per atom

***

(11)
Computed, not measured: an optimized crystal structure of Tc3AsPd at the PBE-GGA level of DFT.

a b c (Å): 4.504 4.504 4.504
angles (deg): 90.00 90.00 90.00
Sites, in units of the cell vectors:
1 Tc 0.000 0.000 0.500
2 Tc 0.000 0.500 0.000
3 Tc 0.500 0.000 0.000
4 As 0.000 0.000 0.000
5 Pd 0.500 0.500 0.500

Results
Symmetry: Pm-3m
Formation energy from the elements: 1.179 eV/atom
Final energy: -35.044 eV/f.u.
Density of states at the Fermi level: 1.366 states/eV per atom
Total moment: 0.00 Bohr magnetons per cell
Relative energy among the computed polymorphs: 0 meV per atom

***

(12)
Computed, not measured: an optimized crystal structure of TcAs2Pd at the PBE-GGA level of DFT.

a b c (Å): 4.473 4.473 4.473
angles (deg): 60.00 60.00 60.00
Sites, in units of the cell vectors:
1 Tc 0.000 0.000 0.000
2 As 0.250 0.250 0.250
3 As 0.750 0.750 0.750
4 Pd 0.500 0.500 0.500

Results
Symmetry: Fm-3m
Formation energy from the elements: 0.075 eV/atom
Final energy: -24.558 eV/f.u.
Density of states at the Fermi level: 0.799 states/eV per atom
Total moment: 1.56 Bohr magnetons per cell
Relative energy among the computed polymorphs: 201 meV per atom

***

(13)
Computed, not measured: an optimized crystal structure of TcAs2Pd at the PBE-GGA level of DFT.

a b c (Å): 8.074 8.074 8.074
angles (deg): 22.16 22.16 22.16
Sites, in units of the cell vectors:
1 Tc 0.000 0.000 0.000
2 As 0.411 0.411 0.411
3 As 0.590 0.590 0.590
4 Pd 0.841 0.841 0.841

Results
Symmetry: R3m
Formation energy from the elements: -0.117 eV/atom
Final energy: -25.327 eV/f.u.
Density of states at the Fermi level: 0.623 states/eV per atom
Total moment: 0.00 Bohr magnetons per cell
Relative energy among the computed polymorphs: 9 meV per atom

***

(14)
Computed, not measured: an optimized crystal structure of TcAs2Pd at the PBE-GGA level of DFT.

a b c (Å): 3.154 3.154 6.296
angles (deg): 90.00 90.00 90.00
Sites, in units of the cell vectors:
1 Tc 0.000 0.000 0.000
2 As 0.500 0.500 0.234
3 As 0.500 0.500 0.766
4 Pd 0.000 0.000 0.500

Results
Symmetry: P4/mmm
Formation energy from the elements: -0.126 eV/atom
Final energy: -25.361 eV/f.u.
Density of states at the Fermi level: 0.451 states/eV per atom
Total moment: 0.00 Bohr magnetons per cell
Relative energy among the computed polymorphs: 0 meV per atom

***

(15)
Computed, not measured: an optimized crystal structure of TeAsPd6 at the PBE-GGA level of DFT.

a b c (Å): 6.322 6.322 8.399
angles (deg): 109.70 109.70 77.74
Sites, in units of the cell vectors:
1 Te 0.000 0.500 0.000
2 Te 0.500 0.000 0.000
3 As 0.000 0.500 0.500
4 As 0.500 0.000 0.500
5 Pd 0.052 0.052 0.850
6 Pd 0.149 0.149 0.572
7 Pd 0.224 0.564 0.334
8 Pd 0.227 0.591 0.817
9 Pd 0.409 0.773 0.183
10 Pd 0.436 0.776 0.666
11 Pd 0.564 0.224 0.334
12 Pd 0.591 0.227 0.817
13 Pd 0.773 0.409 0.183
14 Pd 0.776 0.436 0.666
15 Pd 0.851 0.851 0.428
16 Pd 0.948 0.948 0.150

Results
Symmetry: C2/m
Final energy: -39.895 eV/f.u.
Density of states at the Fermi level: 0.432 states/eV per atom
Total moment: 0.00 Bohr magnetons per cell

***

(16)
Computed, not measured: an optimized crystal structure of TeAsPd at the PBE-GGA level of DFT.

a b c (Å): 4.575 4.575 4.575
angles (deg): 60.00 60.00 60.00
Sites, in units of the cell vectors:
1 Te 0.000 0.000 0.000
2 As 0.500 0.500 0.500
3 Pd 0.250 0.250 0.250

Results
Symmetry: F-43m
Final energy: -13.412 eV/f.u.
Density of states at the Fermi level: 0.298 states/eV per atom
Total moment: 0.00 Bohr magnetons per cell

***

(17)
Computed, not measured: an optimized crystal structure of Te3AsPd at the PBE-GGA level of DFT.

a b c (Å): 5.235 5.235 5.235
angles (deg): 90.00 90.00 90.00
Sites, in units of the cell vectors:
1 Te 0.000 0.000 0.500
2 Te 0.000 0.500 0.000
3 Te 0.500 0.000 0.000
4 As 0.500 0.500 0.500
5 Pd 0.000 0.000 0.000

Results
Symmetry: Pm-3m
Final energy: -16.678 eV/f.u.
Density of states at the Fermi level: 1.078 states/eV per atom
Total moment: 0.00 Bohr magnetons per cell
Relative energy among the computed polymorphs: 0 meV per atom

***

(18)
Computed, not measured: an optimized crystal structure of TeAsPd at the PBE-GGA level of DFT.

a b c (Å): 6.635 6.382 6.624
angles (deg): 90.00 103.37 90.00
Sites, in units of the cell vectors:
1 Te 0.154 0.121 0.342
2 Te 0.154 0.379 0.842
3 Te 0.846 0.621 0.158
4 Te 0.846 0.879 0.658
5 As 0.366 0.628 0.633
6 As 0.366 0.872 0.133
7 As 0.634 0.128 0.867
8 As 0.634 0.372 0.367
9 Pd 0.264 0.514 0.249
10 Pd 0.264 0.986 0.749
11 Pd 0.736 0.014 0.251
12 Pd 0.736 0.486 0.751

Results
Symmetry: P2_1/c
Final energy: -13.879 eV/f.u.
Density of states at the Fermi level: 0.577 states/eV per atom
Total moment: 0.00 Bohr magnetons per cell

***

(19)
Computed, not measured: an optimized crystal structure of Te5As2Pd12 at the PBE-GGA level of DFT.

a b c (Å): 7.895 7.895 8.320
angles (deg): 111.10 111.10 53.86
Sites, in units of the cell vectors:
1 Te 0.000 0.000 0.000
2 Te 0.258 0.258 0.095
3 Te 0.313 0.313 0.681
4 Te 0.687 0.687 0.319
5 Te 0.742 0.742 0.905
6 As 0.203 0.797 0.500
7 As 0.797 0.203 0.500
8 Pd 0.097 0.097 0.760
9 Pd 0.112 0.520 0.400
10 Pd 0.193 0.587 0.997
11 Pd 0.413 0.807 0.003
12 Pd 0.480 0.888 0.600
13 Pd 0.495 0.495 0.323
14 Pd 0.505 0.505 0.677
15 Pd 0.520 0.112 0.400
16 Pd 0.587 0.193 0.997
17 Pd 0.807 0.413 0.003
18 Pd 0.888 0.480 0.600
19 Pd 0.903 0.903 0.240

Results
Symmetry: C2/m
Final energy: -91.850 eV/f.u.
Density of states at the Fermi level: 0.502 states/eV per atom
Total moment: 0.00 Bohr magnetons per cell

***

(20)
Computed, not measured: an optimized crystal structure of Te2AsPd8 at the PBE-GGA level of DFT.

a b c (Å): 7.500 7.500 6.712
angles (deg): 113.79 113.79 33.63
Sites, in units of the cell vectors:
1 Te 0.171 0.171 0.165
2 Te 0.829 0.829 0.835
3 As 0.500 0.500 0.500
4 Pd 0.032 0.032 0.330
5 Pd 0.191 0.191 0.787
6 Pd 0.331 0.331 0.559
7 Pd 0.418 0.418 0.078
8 Pd 0.582 0.582 0.922
9 Pd 0.669 0.669 0.441
10 Pd 0.809 0.809 0.213
11 Pd 0.968 0.968 0.670

Results
Symmetry: C2/m
Final energy: -55.647 eV/f.u.
Density of states at the Fermi level: 0.481 states/eV per atom
Total moment: 0.00 Bohr magnetons per cell
Relative energy among the computed polymorphs: 0 meV per atom

***

(21)
Computed, not measured: an optimized crystal structure of TeAsPd4 at the PBE-GGA level of DFT.

a b c (Å): 3.937 6.592 16.643
angles (deg): 90.00 93.09 90.00
Sites, in units of the cell vectors:
1 Te 0.188 0.242 0.307
2 Te 0.188 0.258 0.807
3 Te 0.812 0.742 0.193
4 Te 0.812 0.758 0.693
5 As 0.269 0.244 0.558
6 As 0.269 0.256 0.058
7 As 0.731 0.744 0.942
8 As 0.731 0.756 0.442
9 Pd 0.204 0.648 0.847
10 Pd 0.204 0.852 0.347
11 Pd 0.234 0.022 0.942
12 Pd 0.234 0.478 0.442
13 Pd 0.263 0.628 0.052
14 Pd 0.263 0.872 0.552
15 Pd 0.308 0.016 0.179
16 Pd 0.308 0.484 0.679
17 Pd 0.692 0.516 0.321
18 Pd 0.692 0.984 0.821
19 Pd 0.737 0.128 0.448
20 Pd 0.737 0.372 0.948
21 Pd 0.766 0.522 0.558
22 Pd 0.766 0.978 0.058
23 Pd 0.796 0.148 0.653
24 Pd 0.796 0.352 0.153

Results
Symmetry: P2_1/c
Final energy: -30.486 eV/f.u.
Density of states at the Fermi level: 0.525 states/eV per atom
Total moment: 0.00 Bohr magnetons per cell
Relative energy among the computed polymorphs: 0 meV per atom

***

(22)
Computed, not measured: an optimized crystal structure of Te2AsPd8 at the PBE-GGA level of DFT.

a b c (Å): 8.978 8.978 5.394
angles (deg): 98.62 98.62 26.99
Sites, in units of the cell vectors:
1 Te 0.170 0.170 0.081
2 Te 0.830 0.830 0.919
3 As 0.500 0.500 0.500
4 Pd 0.031 0.031 0.761
5 Pd 0.249 0.249 0.679
6 Pd 0.360 0.360 0.323
7 Pd 0.423 0.423 0.853
8 Pd 0.577 0.577 0.147
9 Pd 0.640 0.640 0.677
10 Pd 0.751 0.751 0.321
11 Pd 0.969 0.969 0.239

Results
Symmetry: C2/m
Final energy: -55.375 eV/f.u.
Density of states at the Fermi level: 0.542 states/eV per atom
Total moment: 0.00 Bohr magnetons per cell
Relative energy among the computed polymorphs: 25 meV per atom